Below is crystalline AlHg2PdAu at its relaxed geometry, with properties calculated at the GGA-PBE level. Values from VASP.

Formation enthalpy at 0 K = 0.40 eV per atom

```
&SYSTEM
  ibrav = 0, nat = 5, ntyp = 4
/
ATOMIC_SPECIES
Hg 200.59 Hg.upf
Al 26.98 Al.upf
Au 196.97 Au.upf
Pd 106.42 Pd.upf
ATOMIC_POSITIONS crystal
Hg 0.000 0.000 0.500
Hg 0.500 0.000 0.000
Al 0.500 0.500 0.500
Au 0.000 0.500 0.000
Pd 0.000 0.000 0.000
CELL_PARAMETERS angstrom
5.184 0.000 0.000
0.000 5.219 0.000
0.000 0.000 5.184
```



Below is crystalline TlAs2CSe at its relaxed geometry, with properties calculated at the GGA-PBE level. Values from VASP.

E_form (uncorrected) = 0.99 eV per atom

```
&SYSTEM
  ibrav = 0, nat = 5, ntyp = 4
/
ATOMIC_SPECIES
Se 78.96 Se.upf
As 74.92 As.upf
Tl 204.38 Tl.upf
C 12.01 C.upf
ATOMIC_POSITIONS crystal
Se 0.000 0.000 0.500
As 0.500 0.000 0.000
As 0.000 0.500 0.000
Tl 0.500 0.500 0.500
C 0.000 0.000 0.000
CELL_PARAMETERS angstrom
4.569 0.000 0.000
0.000 4.569 0.000
0.000 0.000 4.584
```



Below is crystalline ZrIn2Rh2 at its relaxed geometry, with properties calculated at the GGA-PBE level. Values from VASP.

Formation enthalpy at 0 K = -0.43 eV per atom

```
&SYSTEM
  ibrav = 0, nat = 10, ntyp = 3
/
ATOMIC_SPECIES
In 114.82 In.upf
Zr 91.22 Zr.upf
Rh 102.91 Rh.upf
ATOMIC_POSITIONS crystal
In 0.339 0.161 0.500
In 0.839 0.339 0.500
In 0.661 0.839 0.500
In 0.161 0.661 0.500
Zr 0.000 0.000 0.000
Zr 0.500 0.500 0.000
Rh 0.640 0.140 0.000
Rh 0.860 0.640 0.000
Rh 0.140 0.360 0.000
Rh 0.360 0.860 0.000
CELL_PARAMETERS angstrom
-1.900 6.619 1.250
-6.549 -2.119 1.264
0.879 -0.461 3.780
```



no.,N(E_F) (states/eV/cell),total moment (Bohr magnetons per cell)
1,1.9,0.00
2,4.3,0.00
3,3.0,0.00